VASP calculation (PBE-GGA) on TmCuNiGe2 after structural relaxation.

The energy comes out at -5.1631 eV per atom.

```
data_TmCuNiGe2
_cell_length_a 3.9982
_cell_length_b 3.9982
_cell_length_c 10.1680
_cell_angle_alpha 90.00
_cell_angle_beta 90.00
_cell_angle_gamma 90.00
_symmetry_space_group_name_H-M 'I -4 m 2'
_symmetry_Int_Tables_number 119
_symmetry_space_group_name_Hall 'I -4 -2'
loop_
_atom_site_label
_atom_site_type_symbol
_atom_site_fract_x
_atom_site_fract_y
_atom_site_fract_z
_atom_site_occupancy
Tm1 Tm 0.0000 0.0000 0.0000 1
Cu1 Cu 0.0000 0.5000 0.7500 1
Ni1 Ni 0.0000 0.5000 0.2500 1
Ge1 Ge 0.0000 0.0000 0.3786 1
```